P.
Below is crystalline Ir5Rh4 at its relaxed geometry, with properties calculated at the PBE level.

The calculation puts the volume at 14.77 Å³/atom.

Unit cell a=7.5639 b=7.5639 c=5.3673 alpha=90.00 beta=90.00 gamma=120.00
Space group P6_3/mcm (No. 193)
Unique sites:
Ir 0.0000 0.3352 0.2500 (multiplicity 6)
Ir 0.3333 0.6667 0.0000 (multiplicity 4)
Rh 0.0000 0.0000 0.0000 (multiplicity 2)
Rh 0.0000 0.3319 0.7500 (multiplicity 6)

---

Q.
Below is crystalline Ir5Rh4 at its relaxed geometry, with properties calculated at the PBE level.

The calculation puts the volume at 14.37 Å³/atom.

Unit cell a=2.733 b=8.185 c=11.563 alpha=90.00 beta=90.00 gamma=90.00
Space group Immm (No. 71)
Unique sites:
Ir 0.000 0.000 0.000 (multiplicity 2)
Ir 0.000 0.333 0.333 (multiplicity 8)
Rh 0.000 0.000 0.332 (multiplicity 4)
Rh 0.000 0.331 0.000 (multiplicity 4)

---

Tell me which of them is the least stable. Sure, it is P.

---

P.
Below is crystalline IrRh4 at its relaxed geometry, with properties calculated at the PBE level.

The calculation puts the volume at 14.25 Å³/atom.

Unit cell a=2.7204 b=2.7204 c=33.3504 alpha=90.00 beta=90.00 gamma=120.00
Space group R-3m (No. 166, hexagonal axes)
Unique sites:
Ir 0.0000 0.0000 0.0000 (multiplicity 3)
Rh 0.0000 0.0000 0.2000 (multiplicity 6)
Rh 0.0000 0.0000 0.3998 (multiplicity 6)

---

Q.
Below is crystalline IrRh4 at its relaxed geometry, with properties calculated at the PBE level.

The calculation puts the volume at 14.22 Å³/atom.

Unit cell a=6.081 b=6.081 c=3.846 alpha=90.00 beta=90.00 gamma=90.00
Space group I4/m (No. 87)
Unique sites:
Ir 0.000 0.000 0.000 (multiplicity 2)
Rh 0.101 0.299 0.500 (multiplicity 8)

---

Tell me which of them is the least stable. Sure, it is P.

---

P.
Below is crystalline IrRh4 at its relaxed geometry, with properties calculated at the PBE level.

The calculation puts the volume at 14.52 Å³/atom.

Unit cell a=3.978 b=5.387 c=13.555 alpha=90.00 beta=90.00 gamma=90.00
Space group Imma (No. 74)
Unique sites:
Ir 0.000 0.250 0.101 (multiplicity 4)
Rh 0.000 0.000 0.308 (multiplicity 8)
Rh 0.000 0.000 0.500 (multiplicity 4)
Rh 0.000 0.250 0.900 (multiplicity 4)

---

Q.
Below is crystalline IrRh4 at its relaxed geometry, with properties calculated at the PBE level.

The calculation puts the volume at 20.39 Å³/atom.

Unit cell a=4.671 b=4.671 c=4.671 alpha=90.00 beta=90.00 gamma=90.00
Space group Pm-3m (No. 221)
Unique sites:
Ir 0.000 0.000 0.000 (multiplicity 1)
Rh 0.000 0.000 0.500 (multiplicity 3)
Rh 0.500 0.500 0.500 (multiplicity 1)

---

Tell me which of them is the least stable. Sure, it is Q.

---

P.
Below is crystalline Ir8Rh at its relaxed geometry, with properties calculated at the PBE level.

The calculation puts the volume at 14.96 Å³/atom.

Unit cell a=10.020 b=10.020 c=2.683 alpha=90.00 beta=90.00 gamma=90.00
Space group I4/mmm (No. 139)
Unique sites:
Ir 0.000 0.332 0.000 (multiplicity 8)
Ir 0.169 0.169 0.500 (multiplicity 8)
Rh 0.000 0.000 0.000 (multiplicity 2)

---

Q.
Below is crystalline Ir8Rh at its relaxed geometry, with properties calculated at the PBE level.

The calculation puts the volume at 14.49 Å³/atom.

Unit cell a=8.216 b=8.216 c=3.865 alpha=90.00 beta=90.00 gamma=90.00
Space group I4/mmm (No. 139)
Unique sites:
Ir 0.000 0.334 0.000 (multiplicity 8)
Ir 0.168 0.168 0.500 (multiplicity 8)
Rh 0.000 0.000 0.000 (multiplicity 2)

---

Tell me which of them is the least stable. Sure, it is P.

---

P.
Below is crystalline Ir4Rh5 at its relaxed geometry, with properties calculated at the PBE level.

The calculation puts the volume at 14.75 Å³/atom.

Unit cell a=7.5637 b=7.5637 c=5.3586 alpha=90.00 beta=90.00 gamma=120.00
Space group P6_3/mcm (No. 193)
Unique sites:
Ir 0.0000 0.0000 0.0000 (multiplicity 2)
Ir 0.0000 0.3317 0.2500 (multiplicity 6)
Rh 0.0000 0.3345 0.7500 (multiplicity 6)
Rh 0.3333 0.6667 0.0000 (multiplicity 4)

---

Q.
Below is crystalline Ir4Rh5 at its relaxed geometry, with properties calculated at the PBE level.

The calculation puts the volume at 14.32 Å³/atom.

Unit cell a=8.172 b=8.172 c=3.861 alpha=90.00 beta=90.00 gamma=90.00
Space group I4/mmm (No. 139)
Unique sites:
Ir 0.000 0.336 0.000 (multiplicity 8)
Rh 0.000 0.000 0.000 (multiplicity 2)
Rh 0.167 0.167 0.500 (multiplicity 8)

---

Tell me which of them is the least stable. Sure, it is P.

---

P.
Below is crystalline Ir7Ru4Rh at its relaxed geometry, with properties calculated at the PBE level.

The calculation puts the volume at 14.29 Å³/atom.

Unit cell a=4.714 b=5.447 c=7.206 alpha=100.88 beta=108.98 gamma=90.05
Space group P-1 (No. 2)
Unique sites:
Ir 0.000 0.000 0.000 (multiplicity 1)
Ir 0.003 0.835 0.338 (multiplicity 2)
Ir 0.497 0.417 0.664 (multiplicity 2)
Ir 0.498 0.752 0.000 (multiplicity 2)
Ru 0.001 0.333 0.336 (multiplicity 2)
Ru 0.500 0.084 0.334 (multiplicity 2)
Rh 0.000 0.500 0.000 (multiplicity 1)

---

Q.
Below is crystalline Ir7Ru4Rh at its relaxed geometry, with properties calculated at the PBE level.

The calculation puts the volume at 16.00 Å³/atom.

Unit cell a=10.518 b=4.591 c=9.363 alpha=90.00 beta=121.87 gamma=90.00
Space group C2/m (No. 12)
Unique sites:
Ir 0.000 0.000 0.000 (multiplicity 2)
Ir 0.075 0.500 0.351 (multiplicity 4)
Ir 0.141 0.000 0.551 (multiplicity 4)
Ir 0.216 0.500 0.911 (multiplicity 4)
Ru 0.065 0.000 0.768 (multiplicity 4)
Ru 0.218 0.000 0.316 (multiplicity 4)
Rh 0.000 0.500 0.000 (multiplicity 2)

---

Tell me which of them is the least stable. Sure, it is Q.

---

P.
Below is crystalline Ir2RuRh4 at its relaxed geometry, with properties calculated at the PBE level.

The calculation puts the volume at 15.55 Å³/atom.

Unit cell a=5.371 b=5.371 c=7.544 alpha=90.00 beta=90.00 gamma=90.00
Space group I4/mmm (No. 139)
Unique sites:
Ir 0.000 0.500 0.000 (multiplicity 4)
Ru 0.000 0.000 0.000 (multiplicity 2)
Rh 0.250 0.250 0.250 (multiplicity 8)

---

Q.
Below is crystalline Ir2RuRh4 at its relaxed geometry, with properties calculated at the PBE level.

The calculation puts the volume at 15.72 Å³/atom.

Unit cell a=7.169 b=7.169 c=4.280 alpha=90.00 beta=90.00 gamma=90.00
Space group P4_2/mnm (No. 136)
Unique sites:
Ir 0.134 0.134 0.000 (multiplicity 4)
Ru 0.000 0.000 0.500 (multiplicity 2)
Rh 0.100 0.357 0.500 (multiplicity 8)

---

Tell me which of them is the least stable. Sure, it is Q.

---

P.
Below is crystalline Ir4RuRh7 at its relaxed geometry, with properties calculated at the PBE level.

The calculation puts the volume at 15.95 Å³/atom.

Unit cell a=10.619 b=4.557 c=9.364 alpha=90.00 beta=122.37 gamma=90.00
Space group C2/m (No. 12)
Unique sites:
Ir 0.068 0.000 0.273 (multiplicity 4)
Ir 0.213 0.000 0.819 (multiplicity 4)
Ru 0.000 0.500 0.500 (multiplicity 2)
Rh 0.000 0.000 0.500 (multiplicity 2)
Rh 0.076 0.500 0.850 (multiplicity 4)
Rh 0.140 0.000 0.053 (multiplicity 4)
Rh 0.215 0.500 0.408 (multiplicity 4)

---

Q.
Below is crystalline Ir4RuRh7 at its relaxed geometry, with properties calculated at the PBE level.

The calculation puts the volume at 14.27 Å³/atom.

Unit cell a=2.7208 b=2.7208 c=26.7111 alpha=90.00 beta=90.00 gamma=120.00
Space group P-3m1 (No. 164)
Unique sites:
Ir 0.3333 0.6667 0.1666 (multiplicity 2)
Ir 0.3333 0.6667 0.4166 (multiplicity 2)
Ru 0.0000 0.0000 0.0000 (multiplicity 1)
Rh 0.0000 0.0000 0.2495 (multiplicity 2)
Rh 0.0000 0.0000 0.5000 (multiplicity 1)
Rh 0.3333 0.6667 0.6665 (multiplicity 2)
Rh 0.3333 0.6667 0.9178 (multiplicity 2)

---

Tell me which of them is the least stable. Sure, it is P.

---

P.
Below is crystalline Ir2Ru5Rh2 at its relaxed geometry, with properties calculated at the PBE level.

The calculation puts the volume at 14.11 Å³/atom.

Unit cell a=8.588 b=3.833 c=8.140 alpha=90.00 beta=108.55 gamma=90.00
Space group C2/m (No. 12)
Unique sites:
Ir 0.166 0.000 0.053 (multiplicity 4)
Ru 0.000 0.500 0.169 (multiplicity 4)
Ru 0.000 0.500 0.500 (multiplicity 2)
Ru 0.165 0.000 0.723 (multiplicity 4)
Rh 0.165 0.000 0.390 (multiplicity 4)

---

Q.
Below is crystalline Ir2Ru5Rh2 at its relaxed geometry, with properties calculated at the PBE level.

The calculation puts the volume at 15.96 Å³/atom.

Unit cell a=12.354 b=4.009 c=6.563 alpha=90.00 beta=117.85 gamma=90.00
Space group C2/m (No. 12)
Unique sites:
Ir 0.086 0.000 0.446 (multiplicity 4)
Ru 0.000 0.000 0.000 (multiplicity 2)
Ru 0.173 0.500 0.339 (multiplicity 4)
Ru 0.218 0.000 0.887 (multiplicity 4)
Rh 0.062 0.500 0.774 (multiplicity 4)

---

Tell me which of them is the least stable. Sure, it is Q.

---

P.
Below is crystalline Ir4Ru3Rh at its relaxed geometry, with properties calculated at the PBE level.

The calculation puts the volume at 14.46 Å³/atom.

Unit cell a=3.911 b=2.712 c=21.821 alpha=90.00 beta=90.00 gamma=90.00
Space group Amm2 (No. 38)
Unique sites:
Ir 0.000 0.000 0.000 (multiplicity 2)
Ir 0.000 0.000 0.120 (multiplicity 2)
Ir 0.500 0.000 0.316 (multiplicity 2)
Ir 0.500 0.000 0.439 (multiplicity 2)
Ru 0.000 0.000 0.752 (multiplicity 2)
Ru 0.000 0.000 0.875 (multiplicity 2)
Ru 0.500 0.000 0.564 (multiplicity 2)
Rh 0.500 0.000 0.196 (multiplicity 2)

---

Q.
Below is crystalline Ir4Ru3Rh at its relaxed geometry, with properties calculated at the PBE level.

The calculation puts the volume at 14.27 Å³/atom.

Unit cell a=18.356 b=2.723 c=4.725 alpha=90.00 beta=104.83 gamma=90.00
Space group C2/m (No. 12)
Unique sites:
Ir 0.125 0.000 0.293 (multiplicity 4)
Ir 0.127 0.500 0.792 (multiplicity 4)
Ru 0.000 0.500 0.000 (multiplicity 2)
Ru 0.250 0.000 0.753 (multiplicity 4)
Rh 0.000 0.000 0.500 (multiplicity 2)

---

Tell me which of them is the least stable. Sure, it is P.

---

P.
Below is crystalline Ir3RuRh3 at its relaxed geometry, with properties calculated at the PBE level.

The calculation puts the volume at 15.26 Å³/atom.

Unit cell a=6.881 b=7.408 c=8.382 alpha=90.00 beta=90.11 gamma=90.00
Space group C2/m (No. 12)
Unique sites:
Ir 0.053 0.000 0.245 (multiplicity 4)
Ir 0.226 0.315 0.255 (multiplicity 8)
Ru 0.184 0.500 0.536 (multiplicity 4)
Rh 0.000 0.198 0.000 (multiplicity 4)
Rh 0.000 0.198 0.500 (multiplicity 4)
Rh 0.079 0.500 0.843 (multiplicity 4)

---

Q.
Below is crystalline Ir3RuRh3 at its relaxed geometry, with properties calculated at the PBE level.

The calculation puts the volume at 20.81 Å³/atom.

Unit cell a=11.3009 b=11.3009 c=2.6339 alpha=90.00 beta=90.00 gamma=120.00
Space group P6_3/m (No. 176)
Unique sites:
Ir 0.1418 0.7188 0.2500 (multiplicity 6)
Ru 0.3333 0.6667 0.2500 (multiplicity 2)
Rh 0.0757 0.4515 0.2500 (multiplicity 6)

---

Tell me which of them is the least stable. Sure, it is Q.